{"formula": "Cd2Fe2N", "functional": "PBE-GGA", "state": "optimized geometry", "dos_at_fermi_per_ev_cell": 2.2, "m_tot_mub_per_cell": 6.793, "energy_ev_per_atom": -3.933, "lattice": [[-2.400, 0.456, 2.749], [-2.760, 0.111, -2.428], [-3.262, -6.204, 0.640]], "species": ["Cd", "Cd", "Fe", "Fe", "N"], "frac_coords": [[0.250, 0.750, 0.500], [0.750, 0.250, 0.500], [0.581, 0.581, 0.838], [0.419, 0.419, 0.162], [0.000, 0.000, 0.000]]}

=====

{"formula": "Ho2Ge3Pd8", "functional": "PBE-GGA", "state": "optimized geometry", "dos_at_fermi_per_ev_cell": 7.0, "m_tot_mub_per_cell": 0.000, "energy_ev_per_atom": -5.577, "lattice": [[7.883, 0.000, -0.365], [0.000, 5.556, 0.000], [-3.458, -2.778, 5.445]], "species": ["Pd", "Pd", "Pd", "Pd", "Pd", "Pd", "Pd", "Pd", "Ho", "Ho", "Ge", "Ge", "Ge"], "frac_coords": [[0.593, 0.628, 0.759], [0.407, 0.372, 0.241], [0.407, 0.868, 0.241], [0.593, 0.132, 0.759], [0.799, 0.290, 0.581], [0.898, 0.116, 0.232], [0.102, 0.884, 0.768], [0.201, 0.710, 0.419], [0.754, 0.636, 0.272], [0.246, 0.364, 0.728], [0.000, 0.742, 0.000], [0.000, 0.258, 0.000], [0.500, 0.000, 0.000]]}

=====

{"formula": "NaLa2In", "functional": "PBE-GGA", "state": "optimized geometry", "dos_at_fermi_per_ev_cell": 5.5, "m_tot_mub_per_cell": 0.006, "energy_ev_per_atom": -3.632, "lattice": [[-0.007, -4.399, -1.465], [3.457, -1.248, 3.730], [-3.933, -1.087, 3.282]], "species": ["In", "La", "La", "Na"], "frac_coords": [[0.500, 0.500, 0.500], [0.000, 0.500, 0.000], [0.000, 0.000, 0.500], [0.500, 0.000, 0.000]]}

=====

{"formula": "MnMo2P", "functional": "PBE-GGA", "state": "optimized geometry", "dos_at_fermi_per_ev_cell": 8.3, "m_tot_mub_per_cell": 6.628, "energy_ev_per_atom": -8.709, "lattice": [[3.667, 0.000, 0.000], [0.000, 3.667, 0.000], [1.833, 1.833, 9.191]], "species": ["P", "P", "Mo", "Mo", "Mo", "Mo", "Mn", "Mn"], "frac_coords": [[0.500, 0.500, 0.000], [0.250, 0.750, 0.500], [0.615, 0.125, 0.250], [0.135, 0.625, 0.250], [0.875, 0.865, 0.750], [0.375, 0.385, 0.750], [0.000, 0.000, 0.000], [0.750, 0.250, 0.500]]}

=====

Number 3 is which compound?
NaLa2In